--- P ---
The following is a PBE calculation of a relaxed MgTeI2O crystal, from Alexandria via LeMat-Bulk.

Cell: 5.914 5.914 3.754 Å, 90.00 90.00 90.00°
Atoms (fractional coordinates):
Mg 0.000 0.000 0.000
Te 0.500 0.500 0.500
I 0.000 0.500 0.000
I 0.500 0.000 0.000
O 0.000 0.000 0.500

Summary:
As for the calculated volume: 26.260 Å³/atom. For the size of the total moment, the calculation gives 0.00 μB per cell.

=====

--- Q ---
The following is a PBE calculation of a relaxed MgTeI2O crystal, from Alexandria via LeMat-Bulk.

Cell: 5.252 5.252 4.672 Å, 90.00 90.00 90.00°
Atoms (fractional coordinates):
Mg 0.000 0.000 0.000
Te 0.500 0.500 0.000
I 0.000 0.500 0.500
I 0.500 0.000 0.500
O 0.500 0.500 0.500

Summary:
As for the calculated volume: 25.772 Å³/atom. For the size of the total moment, the calculation gives 0.00 μB per cell.

=====

What should be chosen as the least stable of them? Choose Q.

=====

--- P ---
The following is a PBE calculation of a relaxed MgTiI2O crystal, from Alexandria via LeMat-Bulk.

Cell: 5.729 5.729 3.738 Å, 90.00 90.00 90.00°
Atoms (fractional coordinates):
Mg 0.000 0.000 0.000
Ti 0.500 0.500 0.500
I 0.000 0.500 0.000
I 0.500 0.000 0.000
O 0.000 0.000 0.500

Summary:
As for the calculated volume: 24.541 Å³/atom. For the size of the total moment, the calculation gives 1.99 μB per cell.

=====

--- Q ---
The following is a PBE calculation of a relaxed MgTiI2O crystal, from Alexandria via LeMat-Bulk.

Cell: 5.788 5.788 3.777 Å, 90.00 90.00 90.00°
Atoms (fractional coordinates):
Mg 0.000 0.000 0.000
Ti 0.500 0.500 0.500
I 0.000 0.500 0.500
I 0.500 0.000 0.500
O 0.500 0.500 0.000

Summary:
As for the calculated volume: 25.306 Å³/atom. For the size of the total moment, the calculation gives 0.97 μB per cell.

=====

What should be chosen as the least stable of them? Choose P.

=====

--- P ---
The following is a PBE calculation of a relaxed MgTiIO2 crystal, from Alexandria via LeMat-Bulk.

Cell: 3.982 3.982 5.330 Å, 90.00 90.00 90.00°
Atoms (fractional coordinates):
Mg 0.000 0.000 0.000
Ti 0.500 0.500 0.500
I 0.000 0.000 0.500
O 0.000 0.500 0.000
O 0.500 0.000 0.000

Summary:
As for the calculated volume: 16.899 Å³/atom. For the size of the total moment, the calculation gives 0.00 μB per cell.

=====

--- Q ---
The following is a PBE calculation of a relaxed MgTiIO2 crystal, from Alexandria via LeMat-Bulk.

Cell: 3.946 3.946 5.789 Å, 90.00 90.00 90.00°
Atoms (fractional coordinates):
Mg 0.000 0.000 0.000
Ti 0.500 0.500 0.500
I 0.500 0.500 0.000
O 0.000 0.500 0.500
O 0.500 0.000 0.500

Summary:
As for the calculated volume: 18.027 Å³/atom. For the size of the total moment, the calculation gives 0.16 μB per cell.

=====

What should be chosen as the least stable of them? Choose P.